[1]
TiCo2NiSn: optimized geometry, PBE-GGA.

Cell: 4.6108 5.0411 4.6108 Å, 90.00 90.00 90.00°
Last column: nearest neighbours and their distance in Å.
Fractional positions:
Ni: 0.5000 0.5000 0.5000  4 Ti 3.26, 8 Co 3.42
Co: 0.0000 0.0000 0.5000  2 Sn 2.31
Co: 0.5000 0.0000 0.0000  2 Sn 2.31
Ti: 0.0000 0.5000 0.0000  2 Sn 2.52
Sn: 0.0000 0.0000 0.0000  4 Co 2.31, 2 Ti 2.52

Properties
Energy relative to the elements: 148.9 kJ/mol of atoms
DFT total energy: -4.8349 eV/atom
Density: 5.32 g/cm3
D(E_F): 5.92 states/eV per cell
Symmetry: P4/mmm, No. 123


[2]
TiCoNiSn: optimized geometry, PBE-GGA.

Cell: 4.3109 4.3109 4.3109 Å, 60.00 60.00 60.00°
Last column: nearest neighbours and their distance in Å.
Fractional positions:
Sn: 0.0000 0.0000 0.0000  4 Co 2.64, 4 Ni 2.64
Co: 0.2500 0.2500 0.2500  4 Sn 2.64, 4 Ti 2.64
Ni: 0.7500 0.7500 0.7500  4 Sn 2.64, 4 Ti 2.64
Ti: 0.5000 0.5000 0.5000  4 Co 2.64, 4 Ni 2.64

Properties
Energy relative to the elements: -35.5 kJ/mol of atoms
DFT total energy: -6.5637 eV/atom
Density: 8.33 g/cm3
D(E_F): 4.65 states/eV per cell
Symmetry: F-43m, No. 216


[3]
TmCoNiSn: optimized geometry, PBE-GGA.

Cell: 4.5260 4.5260 4.5260 Å, 60.00 60.00 60.00°
Last column: nearest neighbours and their distance in Å.
Fractional positions:
Ni: 0.5000 0.5000 0.5000  4 Tm 2.77, 4 Sn 2.77
Sn: 0.2500 0.2500 0.2500  4 Ni 2.77, 4 Co 2.77
Tm: 0.7500 0.7500 0.7500  4 Co 2.77, 4 Ni 2.77
Co: 0.0000 0.0000 0.0000  4 Sn 2.77, 4 Tm 2.77

Properties
Energy relative to the elements: -36.4 kJ/mol of atoms
DFT total energy: -5.7180 eV/atom
Density: 10.27 g/cm3
D(E_F): 3.66 states/eV per cell
Symmetry: F-43m, No. 216


[4]
SrCo2Ni2: optimized geometry, PBE-GGA.

Cell: 7.3801 7.3801 2.6776 Å, 90.00 90.00 90.00°
Last column: nearest neighbours and their distance in Å.
Fractional positions:
Sr: 0.5000 0.5000 0.0000  2 Sr 2.68, 4 Co 2.97
Sr: 0.0000 0.0000 0.0000  2 Sr 2.68, 4 Co 2.97
Ni: 0.6726 0.8274 0.5000  6 Co 2.54-2.60, 2 Ni 2.68
Ni: 0.3274 0.1726 0.5000  6 Co 2.54-2.60, 2 Ni 2.68
Ni: 0.8274 0.3274 0.5000  6 Co 2.54-2.60, 2 Ni 2.68
Ni: 0.1726 0.6726 0.5000  6 Co 2.54-2.60, 2 Ni 2.68
Co: 0.8859 0.6141 0.0000  1 Co 2.38, 6 Ni 2.54-2.60
Co: 0.3859 0.8859 0.0000  1 Co 2.38, 6 Ni 2.54-2.60
Co: 0.6141 0.1141 0.0000  1 Co 2.38, 6 Ni 2.54-2.60
Co: 0.1141 0.3859 0.0000  1 Co 2.38, 6 Ni 2.54-2.60

Properties
Energy relative to the elements: 32.5 kJ/mol of atoms
DFT total energy: -5.1547 eV/atom
Excess energy over the best structure of this formula in the dataset: 100 meV per atom
Density: 7.35 g/cm3
D(E_F): 16.66 states/eV per cell
Symmetry: P4/mbm, No. 127


[5]
SrCo2Ni: optimized geometry, PBE-GGA.

Cell: 5.3296 5.3296 5.3296 Å, 146.10 124.43 66.71°
Last column: nearest neighbours and their distance in Å.
Fractional positions:
Co: 0.9471 0.9471 0.0000  2 Co 2.31
Co: 0.7557 0.2557 0.5000  2 Co 2.31, 2 Ni 2.42
Ni: 0.5473 0.5473 0.0000  2 Co 2.42
Sr: 0.2499 0.7499 0.5000  8 Co 2.93-3.11, 4 Ni 3.07, 2 Sr 3.11

Properties
Energy relative to the elements: 58.0 kJ/mol of atoms
DFT total energy: -4.8176 eV/atom
Density: 6.38 g/cm3
D(E_F): 4.07 states/eV per cell
Symmetry: Imm2, No. 44


[6]
SrCoNi: optimized geometry, PBE-GGA.

Cell: 4.5379 4.5379 4.5379 Å, 60.00 60.00 60.00°
Last column: nearest neighbours and their distance in Å.
Fractional positions:
Ni: 0.7500 0.7500 0.7500  4 Co 2.78, 4 Sr 2.78
Co: 0.5000 0.5000 0.5000  4 Ni 2.78
Sr: 0.0000 0.0000 0.0000  4 Ni 2.78

Properties
Energy relative to the elements: 68.5 kJ/mol of atoms
DFT total energy: -4.1459 eV/atom
Excess energy over the best structure of this formula in the dataset: 534 meV per atom
Density: 5.16 g/cm3
D(E_F): 5.59 states/eV per cell
Symmetry: F-43m, No. 216


[7]
Sr2CoNi: optimized geometry, PBE-GGA.

Cell: 6.1342 6.1342 6.1342 Å, 139.04 139.04 59.31°
Last column: nearest neighbours and their distance in Å.
Fractional positions:
Sr: 0.2500 0.7500 0.5000  4 Ni 3.04
Sr: 0.0000 0.0000 0.0000  4 Co 3.04
Co: 0.5000 0.5000 0.0000  4 Sr 3.04
Ni: 0.7500 0.2500 0.5000  4 Sr 3.04

Properties
Energy relative to the elements: 57.2 kJ/mol of atoms
DFT total energy: -3.4702 eV/atom
Excess energy over the best structure of this formula in the dataset: 460 meV per atom
Density: 4.95 g/cm3
D(E_F): 6.61 states/eV per cell
Symmetry: I-4m2, No. 119


[8]
SrCoNi: optimized geometry, PBE-GGA.

Cell: 5.7540 5.7540 5.7540 Å, 146.56 146.56 48.02°
Last column: nearest neighbours and their distance in Å.
Fractional positions:
Ni: 0.6127 0.6127 0.0000  4 Co 2.42
Co: 0.0551 0.0551 0.0000  4 Ni 2.42
Sr: 0.3322 0.3322 0.0000  1 Co 2.91, 1 Ni 2.95

Properties
Energy relative to the elements: 36.0 kJ/mol of atoms
DFT total energy: -4.4833 eV/atom
Excess energy over the best structure of this formula in the dataset: 196 meV per atom
Density: 5.91 g/cm3
D(E_F): 3.91 states/eV per cell
Symmetry: I4mm, No. 107


[9]
SrCo2Ni: optimized geometry, PBE-GGA.

Cell: 3.0704 3.0730 6.9527 Å, 90.00 90.00 90.00°
Last column: nearest neighbours and their distance in Å.
Fractional positions:
Ni: 0.0000 0.0000 0.4288  5 Co 2.40-2.54
Co: 0.0000 0.0000 0.0841  1 Ni 2.40, 4 Co 2.43
Co: 0.5000 0.5000 0.2395  4 Co 2.43, 4 Ni 2.54
Sr: 0.5000 0.5000 0.7475  4 Sr 3.07, 4 Ni 3.10, 5 Co 3.19-3.42

Properties
Energy relative to the elements: 40.6 kJ/mol of atoms
DFT total energy: -4.9981 eV/atom
Density: 6.69 g/cm3
D(E_F): 5.34 states/eV per cell
Symmetry: P4mm, No. 99


[10]
SrCoNi2: optimized geometry, PBE-GGA.

Cell: 3.9450 3.0225 6.0201 Å, 77.61 90.00 90.00°
Last column: nearest neighbours and their distance in Å.
Fractional positions:
Ni: 0.5000 0.1071 0.1868  2 Co 2.35-2.36, 2 Ni 2.38
Ni: 0.0000 0.1742 0.9604  2 Ni 2.38, 4 Co 2.48-2.58
Sr: 0.0000 0.4829 0.4725  5 Ni 2.88-3.00, 2 Sr 3.02
Co: 0.5000 0.7359 0.8803  6 Ni 2.35-2.58

Properties
Energy relative to the elements: 39.9 kJ/mol of atoms
DFT total energy: -4.6737 eV/atom
Density: 6.25 g/cm3
D(E_F): 5.93 states/eV per cell
Symmetry: Pm, No. 6


[11]
Sr2CoNi: optimized geometry, PBE-GGA.

Cell: 7.9063 7.9063 6.4624 Å, 52.29 52.29 90.00°
Last column: nearest neighbours and their distance in Å.
Fractional positions:
Sr: 0.8750 0.8846 0.7500  2 Ni 2.86, 2 Co 2.96
Sr: 0.3750 0.3654 0.7500  2 Ni 2.86, 2 Co 2.96
Sr: 0.6346 0.1250 0.2500  2 Ni 2.86, 2 Co 2.96
Sr: 0.1154 0.6250 0.2500  2 Ni 2.86, 2 Co 2.96
Co: 0.2500 0.7500 0.5000  4 Sr 2.96, 2 Ni 3.24
Co: 0.5000 0.5000 0.0000  4 Sr 2.96, 2 Ni 3.24
Ni: 0.0000 0.0000 0.0000  4 Sr 2.86
Ni: 0.7500 0.2500 0.5000  4 Sr 2.86

Properties
Energy relative to the elements: 68.3 kJ/mol of atoms
DFT total energy: -3.3553 eV/atom
Excess energy over the best structure of this formula in the dataset: 575 meV per atom
Density: 4.80 g/cm3
D(E_F): 14.03 states/eV per cell
Symmetry: I-42d, No. 122


[12]
SrCo2Ni: optimized geometry, PBE-GGA.

Cell: 3.8330 3.8330 4.4171 Å, 90.00 90.00 90.00°
Last column: nearest neighbours and their distance in Å.
Fractional positions:
Co: 0.5000 0.5000 0.0000  4 Co 2.71, 4 Ni 2.92, 4 Sr 2.92
Co: 0.0000 0.0000 0.0000  4 Co 2.71, 4 Sr 2.92, 4 Ni 2.92
Sr: 0.0000 0.5000 0.5000  4 Ni 2.71, 8 Co 2.92
Ni: 0.5000 0.0000 0.5000  4 Sr 2.71, 8 Co 2.92

Properties
Energy relative to the elements: 69.1 kJ/mol of atoms
DFT total energy: -4.7030 eV/atom
Density: 6.76 g/cm3
D(E_F): 5.44 states/eV per cell
Symmetry: P4/mmm, No. 123


[13]
SrCo2Ni: optimized geometry, PBE-GGA.

Cell: 3.7813 2.9909 6.3712 Å, 77.53 90.00 90.00°
Last column: nearest neighbours and their distance in Å.
Fractional positions:
Ni: 0.0000 0.3556 0.4334  4 Co 2.36-2.42
Sr: 0.5000 0.7183 0.7306  1 Co 2.97, 2 Sr 2.99, 4 Ni 3.04
Co: 0.5000 0.4338 0.2078  2 Ni 2.36, 4 Co 2.42-2.50
Co: 0.0000 0.9924 0.1282  2 Ni 2.41-2.42, 4 Co 2.42-2.50

Properties
Energy relative to the elements: 43.9 kJ/mol of atoms
DFT total energy: -4.9639 eV/atom
Density: 6.24 g/cm3
D(E_F): 5.76 states/eV per cell
Symmetry: Pm, No. 6